[1]
VASP calculation (PBE) on crystalline AlFeS2Cl at its relaxed geometry.

```
5
Lattice="4.426 0.000 0.000 0.000 4.426 0.000 0.000 0.000 4.730" Properties=species:S:1:pos:R:3 pbc="T T T"
Al 2.213 2.213 2.365
S 2.213 0.000 0.000
S 0.000 2.213 0.000
Fe 0.000 0.000 0.000
Cl 0.000 0.000 2.365
```

spin magnetization: 3.243 Bohr magnetons per cell
crystal system: tetragonal
energy relative to the elements, uncorrected: 0.07 eV per atom
distance to the lowest polymorph of the same formula: 0 meV/atom

=====

[2]
VASP calculation (PBE) on crystalline Ac6Zn2Ga at its relaxed geometry.

```
18
Lattice="-4.677 5.799 -5.763 -5.626 -3.455 6.718 6.933 4.717 4.289" Properties=species:S:1:pos:R:3 pbc="T T T"
Ga 0.000 0.000 0.000
Ga 0.654 0.631 5.504
Ac -2.332 2.462 -0.005
Ac 1.408 2.936 7.980
Ac -4.123 4.756 2.774
Ac -2.643 1.112 3.889
Ac 3.810 3.496 4.800
Ac -1.177 5.513 -2.443
Ac -4.777 4.125 -2.735
Ac -0.726 5.949 1.355
Ac -1.037 4.599 5.249
Ac -7.180 3.565 0.444
Ac 0.753 2.305 2.470
Ac -2.192 1.548 7.687
Zn 1.630 5.742 3.487
Zn 1.475 6.873 -0.963
Zn 0.782 3.643 -0.510
Zn -4.999 1.319 1.757
```

formation enthalpy at 0 K: -0.17 eV/atom
spin magnetization: 0.000 Bohr magnetons per cell
crystal system: orthorhombic

=====

[3]
VASP calculation (PBE) on crystalline Sc2CrSi2Tc5 at its relaxed geometry.

```
20
Lattice="3.230 0.000 0.000 0.000 9.719 0.000 0.000 0.000 9.719" Properties=species:S:1:pos:R:3 pbc="T T T"
Tc 1.615 4.221 2.983
Tc 1.615 1.876 0.639
Tc 1.615 5.498 6.736
Tc 1.615 6.736 4.221
Tc 1.615 2.983 5.498
Tc 1.615 4.859 0.000
Tc 1.615 0.639 7.842
Tc 1.615 7.842 9.080
Tc 1.615 9.080 1.876
Tc 1.615 0.000 4.859
Cr 0.000 4.859 4.859
Cr 0.000 0.000 0.000
Sc 0.000 1.639 3.220
Sc 0.000 3.220 8.080
Sc 0.000 6.499 1.639
Sc 0.000 8.080 6.499
Si 0.000 3.589 1.271
Si 0.000 1.271 6.130
Si 0.000 6.130 8.448
Si 0.000 8.448 3.589
```

spin magnetization: 0.001 Bohr magnetons per cell
crystal system: tetragonal
energy relative to the elements, uncorrected: -0.35 eV per atom

=====

[4]
VASP calculation (PBE) on crystalline KZrFeSe3 at its relaxed geometry.

```
12
Lattice="3.827 0.000 0.000 0.000 8.996 0.308 0.000 -4.021 8.756" Properties=species:S:1:pos:R:3 pbc="T T T"
Fe 2.870 6.712 3.859
Fe 0.957 -1.737 5.205
Se 0.957 -2.429 7.552
Se 2.870 3.534 1.446
Se 0.957 5.119 4.315
Se 2.870 7.404 1.512
Se 2.870 -0.144 4.749
Se 0.957 1.441 7.618
K 0.957 0.969 2.222
K 2.870 4.006 6.842
Zr 0.957 5.490 1.651
Zr 2.870 -0.515 7.413
```

spin magnetization: 5.773 Bohr magnetons per cell
crystal system: monoclinic
energy relative to the elements, uncorrected: -1.06 eV per atom

=====

[5]
VASP calculation (PBE) on crystalline MgInAu2 at its relaxed geometry.

```
4
Lattice="-1.545 -3.898 3.211 1.257 -4.748 -1.942 2.795 4.428 0.684" Properties=species:S:1:pos:R:3 pbc="T T T"
In -0.143 -4.306 0.632
Au 0.000 -0.010 0.002
Au 0.554 -1.890 2.264
Mg 1.954 -2.334 -0.310
```

formation enthalpy at 0 K: -0.32 eV/atom
spin magnetization: 0.000 Bohr magnetons per cell
crystal system: orthorhombic

=====

[6]
VASP calculation (PBE) on crystalline Dy2Tm6Pb at its relaxed geometry.

```
9
Lattice="-1.296 -1.974 -2.584 0.398 -7.826 3.407 -9.071 -1.264 3.144" Properties=species:S:1:pos:R:3 pbc="T T T"
Pb 0.000 0.000 0.000
Dy -6.613 -9.873 3.745
Dy -3.356 -1.191 0.222
Tm -1.851 -4.355 -0.487
Tm -8.118 -6.709 4.454
Tm -2.041 -5.498 2.853
Tm -5.248 -6.708 3.014
Tm -4.721 -4.356 0.954
Tm -7.928 -5.566 1.115
```

formation enthalpy at 0 K: -0.04 eV/atom
spin magnetization: 0.001 Bohr magnetons per cell
crystal system: monoclinic

=====

[7]
VASP calculation (PBE) on crystalline CaCeZnOs at its relaxed geometry.

```
4
Lattice="-1.200 2.204 4.264 -0.164 -2.634 4.186 3.443 0.681 3.488" Properties=species:S:1:pos:R:3 pbc="T T T"
Os 1.039 0.126 5.969
Ce 0.520 0.063 2.984
Ca 1.559 0.189 8.953
Zn 0.000 0.000 0.000
```

formation enthalpy at 0 K: 0.00 eV/atom
spin magnetization: 0.000 Bohr magnetons per cell
crystal system: cubic

=====

[8]
VASP calculation (PBE) on crystalline NdBi2Au at its relaxed geometry.

```
4
Lattice="-2.428 -3.433 1.621 2.448 -3.110 -2.919 3.343 -0.692 3.541" Properties=species:S:1:pos:R:3 pbc="T T T"
Bi 1.224 -1.555 -1.460
Bi 1.671 -0.346 1.770
Nd 1.682 -3.618 1.121
Au -1.214 -1.717 0.811
```

formation enthalpy at 0 K: -0.51 eV/atom
spin magnetization: 0.000 Bohr magnetons per cell
crystal system: tetragonal

=====

[9]
VASP calculation (PBE) on crystalline CeZrBe17 at its relaxed geometry.

```
19
Lattice="5.741 0.021 0.701 0.623 5.707 0.701 0.024 0.021 5.783" Properties=species:S:1:pos:R:3 pbc="T T T"
Be 5.791 5.212 6.514
Be 0.619 0.557 0.696
Be 0.031 0.028 2.890
Be 4.196 3.777 1.840
Be 1.336 3.777 4.383
Be 2.469 4.831 2.778
Be 2.056 4.106 0.709
Be 0.463 4.106 2.125
Be 3.896 0.932 4.383
Be 0.200 1.614 4.352
Be 2.165 1.949 5.354
Be 5.063 1.949 2.778
Be 4.132 0.030 2.125
Be 0.329 2.848 0.370
Be 4.299 1.614 0.709
Be 2.867 0.028 0.370
Be 1.626 0.030 4.352
Zr 2.149 1.934 2.418
Ce 4.222 3.800 4.749
```

formation enthalpy at 0 K: -0.15 eV/atom
spin magnetization: 0.000 Bohr magnetons per cell
crystal system: trigonal

=====

[10]
VASP calculation (PBE) on crystalline NbGeSb at its relaxed geometry.

```
12
Lattice="7.572 0.000 0.000 0.000 3.550 0.000 -5.006 0.000 9.002" Properties=species:S:1:pos:R:3 pbc="T T T"
Nb -4.204 1.775 7.974
Nb 0.256 1.775 7.933
Nb -1.701 0.000 3.472
Nb 2.759 0.000 3.432
Ge 4.087 1.775 5.097
Ge 1.629 0.000 0.950
Ge -0.874 1.775 5.451
Ge 6.590 0.000 0.596
Sb 1.817 0.000 6.263
Sb 0.535 1.775 3.096
Sb 4.320 1.775 1.761
Sb -1.968 0.000 7.597
```

spin magnetization: 0.000 Bohr magnetons per cell
crystal system: monoclinic
energy relative to the elements, uncorrected: -0.12 eV per atom

=====

[11]
VASP calculation (PBE) on crystalline K2HoBi2O6 at its relaxed geometry.

```
11
Lattice="-1.351 -3.968 -4.399 2.594 -1.980 5.126 -6.218 1.108 2.344" Properties=species:S:1:pos:R:3 pbc="T T T"
K 1.927 -2.316 3.516
K -0.685 -3.632 -2.789
Ho -3.109 0.554 1.172
O -1.646 -1.150 0.922
O -4.622 -0.889 0.157
O -3.298 -0.222 3.355
O -1.679 -4.619 -0.284
O -0.354 -3.951 2.914
O -3.330 -3.690 2.150
Bi -1.837 -2.092 3.107
Bi -3.139 -2.748 -0.035
```

spin magnetization: 0.000 Bohr magnetons per cell
crystal system: monoclinic
energy relative to the elements, uncorrected: -1.77 eV per atom

=====

[12]
VASP calculation (PBE) on crystalline Mg2MnHPd at its relaxed geometry.

```
5
Lattice="4.428 0.000 0.000 0.000 4.428 0.000 0.000 0.000 3.429" Properties=species:S:1:pos:R:3 pbc="T T T"
Pd 2.214 2.214 1.714
Mg 2.214 0.000 0.000
Mg 0.000 2.214 0.000
Mn 0.000 0.000 1.714
H 0.000 0.000 0.000
```

total energy: -4.396 eV/atom
spin magnetization: 3.035 Bohr magnetons per cell
crystal system: tetragonal

=====

[13]
VASP calculation (PBE) on crystalline AlAg2Ir at its relaxed geometry.

```
4
Lattice="-5.146 1.326 0.213 -2.700 -0.104 -4.581 2.830 -2.784 3.539" Properties=species:S:1:pos:R:3 pbc="T T T"
Ag -0.024 0.004 -0.013
Ag -2.969 -0.447 0.868
Ir -2.112 -1.105 -1.733
Al -3.835 0.597 -2.135
```

formation enthalpy at 0 K: -0.01 eV/atom
spin magnetization: 0.000 Bohr magnetons per cell
crystal system: orthorhombic

=====

[14]
VASP calculation (PBE) on crystalline SiBr3 at its relaxed geometry.

```
4
Lattice="-2.782 1.587 -1.078 0.175 -1.680 -2.926 -6.101 -7.874 4.155" Properties=species:S:1:pos:R:3 pbc="T T T"
Si -5.879 -5.952 1.114
Br -5.522 -7.126 3.760
Br -2.828 -2.015 -0.963
Br -3.630 -4.685 2.472
```

spin magnetization: 0.000 Bohr magnetons per cell
crystal system: tetragonal
energy relative to the elements, uncorrected: 0.18 eV per atom
distance to the lowest polymorph of the same formula: 935 meV/atom

=====

[15]
VASP calculation (PBE) on crystalline Pr3Zn2Rh4 at its relaxed geometry.

```
9
Lattice="4.284 0.000 0.000 -2.142 5.132 0.097 0.000 -1.202 8.590" Properties=species:S:1:pos:R:3 pbc="T T T"
Zn 2.142 0.920 6.746
Zn 0.000 3.009 1.941
Pr 0.000 3.135 5.408
Pr 2.142 0.795 3.278
Pr 0.000 0.000 0.000
Rh 0.000 1.797 7.897
Rh 2.142 2.133 0.790
Rh 2.142 3.774 3.199
Rh 0.000 0.156 5.487
```

formation enthalpy at 0 K: -0.59 eV/atom
spin magnetization: 0.000 Bohr magnetons per cell
crystal system: monoclinic

=====

[16]
VASP calculation (PBE) on crystalline Ag2AsRu at its relaxed geometry.

```
4
Lattice="4.209 0.000 0.000 0.000 2.997 0.001 0.000 1.570 5.441" Properties=species:S:1:pos:R:3 pbc="T T T"
As 0.000 2.703 2.891
Ag 2.105 1.381 1.361
Ag 0.000 4.404 5.422
Ru 2.105 2.930 3.932
```

formation enthalpy at 0 K: 0.25 eV/atom
spin magnetization: 0.000 Bohr magnetons per cell
crystal system: monoclinic

=====

[17]
VASP calculation (PBE) on crystalline GaIr2Pb2 at its relaxed geometry.

```
10
Lattice="6.604 0.000 0.000 0.000 6.604 0.000 0.000 0.000 4.790" Properties=species:S:1:pos:R:3 pbc="T T T"
Pb 1.137 4.439 2.395
Pb 2.165 1.137 2.395
Pb 5.467 2.165 2.395
Pb 4.439 5.467 2.395
Ga 0.000 0.000 0.000
Ga 3.302 3.302 0.000
Ir 0.942 2.360 0.000
Ir 5.662 4.244 0.000
Ir 2.360 5.662 0.000
Ir 4.244 0.942 0.000
```

formation enthalpy at 0 K: 0.22 eV/atom
spin magnetization: 0.000 Bohr magnetons per cell
crystal system: tetragonal

=====

[18]
VASP calculation (PBE) on crystalline SrNpP2 at its relaxed geometry.

```
4
Lattice="4.095 0.000 0.000 2.048 3.546 0.000 2.048 1.182 7.101" Properties=species:S:1:pos:R:3 pbc="T T T"
Sr 4.095 2.364 3.611
Np 6.143 3.546 7.066
P 2.048 1.182 1.476
P 2.048 1.182 5.598
```

formation enthalpy at 0 K: -0.87 eV/atom
spin magnetization: 3.000 Bohr magnetons per cell
crystal system: trigonal
distance to the lowest polymorph of the same formula: 85 meV/atom

=====

[19]
VASP calculation (PBE) on crystalline Ce4Ti at its relaxed geometry.

```
5
Lattice="5.323 0.000 0.000 0.000 5.323 0.000 0.000 0.000 5.323" Properties=species:S:1:pos:R:3 pbc="T T T"
Ce 2.661 2.661 0.000
Ce 2.661 0.000 2.661
Ce 0.000 0.000 0.000
Ce 0.000 2.661 2.661
Ti 2.661 2.661 2.661
```

formation enthalpy at 0 K: 0.54 eV/atom
spin magnetization: 1.851 Bohr magnetons per cell
crystal system: cubic

=====

[20]
VASP calculation (PBE) on crystalline Pr2Y12Tm5 at its relaxed geometry.

```
19
Lattice="9.301 0.000 0.000 -4.651 11.390 -1.706 0.000 -5.323 6.693" Properties=species:S:1:pos:R:3 pbc="T T T"
Tm 4.651 5.506 -0.159
Tm 0.000 -2.661 3.347
Tm 0.000 0.561 5.147
Tm 0.000 3.625 3.087
Tm 4.651 2.442 1.901
Y 0.000 0.486 1.727
Y 7.623 3.192 -0.055
Y 0.000 8.944 -0.096
Y 6.438 -0.323 3.602
Y 2.972 2.875 5.043
Y 1.678 3.192 -0.055
Y 4.651 -2.877 5.083
Y 2.863 -0.323 3.602
Y -2.972 2.875 5.043
Y -1.787 6.390 1.386
Y 1.787 6.390 1.386
Y 4.651 5.581 3.261
Pr 6.357 0.000 0.000
Pr 2.944 0.000 0.000
```

formation enthalpy at 0 K: 0.13 eV/atom
spin magnetization: 0.000 Bohr magnetons per cell
crystal system: monoclinic
distance to the lowest polymorph of the same formula: 87 meV/atom

=====

[21]
VASP calculation (PBE) on crystalline KNiTe2 at its relaxed geometry.

```
4
Lattice="4.446 0.000 0.000 0.000 3.295 0.035 0.000 -0.121 8.768" Properties=species:S:1:pos:R:3 pbc="T T T"
Te 0.000 -0.087 7.325
Te 2.223 3.251 2.081
K 0.000 1.582 4.184
Ni 2.223 -0.105 8.382
```

spin magnetization: 0.005 Bohr magnetons per cell
crystal system: monoclinic
energy relative to the elements, uncorrected: -0.19 eV per atom

=====

[22]
VASP calculation (PBE) on crystalline Ac2La2Ir2Pt at its relaxed geometry.

```
7
Lattice="-0.173 1.171 -3.928 5.586 -3.593 -3.460 -1.387 -7.898 -2.288" Properties=species:S:1:pos:R:3 pbc="T T T"
La 1.382 -6.242 -6.205
La 2.644 -4.078 -3.471
Ir 0.531 -3.449 -5.333
Ir 3.495 -6.871 -4.343
Ac -0.113 -1.630 -2.623
Ac 4.139 -8.690 -7.053
Pt 0.000 0.000 0.000
```

formation enthalpy at 0 K: -0.75 eV/atom
spin magnetization: 0.000 Bohr magnetons per cell
crystal system: monoclinic